[1]
A plane-wave DFT calculation with PBE was carried out for a geometry-optimized Ba3Na2Sn9 structure.

Unit cell a=4.9710 b=9.9346 c=9.9346 alpha=74.03 beta=75.51 gamma=75.51
Positions (direct):
Ba: 0.0000 0.0000 0.0000
Ba: 0.7012 0.2988 0.2988
Ba: 0.2988 0.7012 0.7012
Na: 0.5000 0.3228 0.6772
Na: 0.5000 0.6772 0.3228
Sn: 0.0000 0.5000 0.5000
Sn: 0.6515 0.9886 0.7084
Sn: 0.3485 0.0114 0.2916
Sn: 0.6515 0.7084 0.9886
Sn: 0.3485 0.2916 0.0114
Sn: 0.8495 0.8609 0.4402
Sn: 0.1505 0.1391 0.5598
Sn: 0.8495 0.4402 0.8609
Sn: 0.1505 0.5598 0.1391

Results
Energy of formation from the pure elements (eV per atom): -0.40
Space-group type: No. 71
Electronic total energy (eV per formula unit): -50.07

[2]
A plane-wave DFT calculation with PBE was carried out for a geometry-optimized LiCoSb2 structure.

Unit cell a=4.7886 b=4.7886 c=4.7886 alpha=60.00 beta=60.00 gamma=60.00
Positions (direct):
Co: 0.5000 0.5000 0.5000
Li: 0.7500 0.7500 0.7500
Sb: 0.0000 0.0000 0.0000
Sb: 0.2500 0.2500 0.2500

Results
Space-group type: No. 216
Energy relative to the lowest polymorph listed for this composition (meV per atom): 507
Electronic total energy (eV per formula unit): -15.85

| no. | D(E_F) (states/eV/atom) | V (Å³/f.u.) |
| --- | --- | --- |
| 1 | 0.331 | 448 |
| 2 | 0.360 | 78 |